A relaxed CaTa2Pd2 crystal, computed with GGA-PBE.

Geometry as POSCAR:
```
CaTa2Pd2
1.0
8.0966 0.0000 0.0000
0.0000 8.0966 0.0000
0.0000 0.0000 2.9098
Ta Pd Ca
4 4 2
Direct
0.3375 0.1625 0.5000 Ta
0.1625 0.6625 0.5000 Ta
0.8375 0.3375 0.5000 Ta
0.6625 0.8375 0.5000 Ta
0.3704 0.8704 0.0000 Pd
0.6296 0.1296 0.0000 Pd
0.8704 0.6296 0.0000 Pd
0.1296 0.3704 0.0000 Pd
0.5000 0.5000 0.0000 Ca
0.0000 0.0000 0.0000 Ca
```

D(E_F) in states/eV/cell: 11.5
Space group: P4/mbm, No. 127
E in eV per atom: -7.20
Energy relative to the elements in eV per atom: 0.0232
Crystal system: tetragonal